No. 1
DFT (PBE) results for an optimized crystal structure of Li2UPaN4.

Output
SG ... I-4m2, No. 119

a b c (Å): 4.407 4.407 6.445
angles (deg): 110.00 109.99 90.00
Sites, in units of the cell vectors:
Li1 0.250 0.750 0.500
Li2 0.000 0.000 0.000
U1 0.750 0.250 0.500
Pa1 0.500 0.500 0.000
N1 0.953 0.453 0.906
N2 0.547 0.047 0.094
N3 0.710 0.710 0.420
N4 0.290 0.290 0.580

No. 2
DFT (PBE) results for an optimized crystal structure of Li3UPa3N8.

Output
SG ... R-3m, No. 166

a b c (Å): 7.105 7.105 6.408
angles (deg): 123.67 90.00 120.00
Sites, in units of the cell vectors:
Li1 0.000 0.000 0.000
Li2 0.000 0.500 0.000
Li3 0.500 0.500 0.000
U1 0.000 0.000 0.500
Pa1 0.500 0.000 0.500
Pa2 0.500 0.500 0.500
Pa3 0.000 0.500 0.500
N1 0.264 0.528 0.292
N2 0.736 0.472 0.708
N3 0.775 0.549 0.302
N4 0.225 0.451 0.698
N5 0.775 0.027 0.302
N6 0.225 0.973 0.698
N7 0.252 0.027 0.302
N8 0.748 0.973 0.698

No. 3
DFT (PBE) results for an optimized crystal structure of LiU3Pa3N8.

Output
SG ... R-3m, No. 166

a b c (Å): 6.775 6.774 6.748
angles (deg): 120.12 90.00 120.00
Sites, in units of the cell vectors:
Li1 0.000 0.000 0.500
U1 0.000 0.000 0.000
U2 0.000 0.500 0.000
U3 0.500 0.500 0.000
Pa1 0.500 0.000 0.500
Pa2 0.500 0.500 0.500
Pa3 0.000 0.500 0.500
N1 0.248 0.496 0.244
N2 0.752 0.504 0.756
N3 0.757 0.515 0.249
N4 0.243 0.485 0.751
N5 0.757 0.992 0.249
N6 0.243 0.008 0.751
N7 0.235 0.992 0.249
N8 0.765 0.008 0.751

No. 4
DFT (PBE) results for an optimized crystal structure of Li3UPa2N6.

Output
SG ... C2/m, No. 12

a b c (Å): 3.512 6.093 7.105
angles (deg): 88.86 104.31 90.00
Sites, in units of the cell vectors:
Li1 0.500 0.500 0.000
Li2 0.879 0.293 0.758
Li3 0.121 0.707 0.242
U1 0.500 0.000 0.000
Pa1 0.803 0.743 0.606
Pa2 0.197 0.257 0.394
N1 0.335 0.997 0.669
N2 0.670 0.500 0.340
N3 0.665 0.003 0.331
N4 0.021 0.221 0.042
N5 0.979 0.779 0.958
N6 0.330 0.500 0.660

No. 5
DFT (PBE) results for an optimized crystal structure of LiU3Pa2N6.

Output
SG ... C2/m, No. 12

a b c (Å): 3.457 6.890 7.610
angles (deg): 103.68 103.13 90.00
Sites, in units of the cell vectors:
Li1 0.500 0.000 0.000
U1 0.500 0.500 0.000
U2 0.838 0.164 0.676
U3 0.162 0.836 0.324
Pa1 0.836 0.674 0.672
Pa2 0.164 0.326 0.328
N1 0.336 0.922 0.672
N2 0.665 0.585 0.330
N3 0.664 0.078 0.328
N4 0.998 0.269 0.997
N5 0.002 0.731 0.003
N6 0.335 0.415 0.670

No. 6
DFT (PBE) results for an optimized crystal structure of LiUPa4N8.

Output
SG ... R3m, No. 160

a b c (Å): 7.115 7.115 6.525
angles (deg): 56.96 56.96 60.00
Sites, in units of the cell vectors:
Li1 0.996 0.996 0.013
U1 0.386 0.386 0.842
Pa1 0.605 0.605 0.184
Pa2 0.999 0.500 0.503
Pa3 0.500 0.999 0.503
Pa4 0.999 0.999 0.503
N1 0.258 0.779 0.704
N2 0.779 0.258 0.704
N3 0.258 0.258 0.704
N4 0.240 0.240 0.279
N5 0.755 0.217 0.274
N6 0.217 0.755 0.274
N7 0.755 0.755 0.274
N8 0.754 0.754 0.738

No. 7
DFT (PBE) results for an optimized crystal structure of LiPa2VN4.

Output
SG ... P2/m, No. 10

a b c (Å): 3.488 5.238 6.017
angles (deg): 67.29 90.00 90.00
Sites, in units of the cell vectors:
Li1 0.000 0.500 0.500
Pa1 0.000 0.000 0.000
Pa2 0.500 0.000 0.500
V1 0.500 0.500 0.000
N1 0.000 0.743 0.755
N2 0.000 0.257 0.245
N3 0.500 0.759 0.241
N4 0.500 0.241 0.759

No. 8
DFT (PBE) results for an optimized crystal structure of Li3Pa3WN8.

Output
SG ... R-3m, No. 166

a b c (Å): 6.850 6.850 6.379
angles (deg): 122.48 90.00 120.00
Sites, in units of the cell vectors:
Li1 0.000 0.000 0.000
Li2 0.000 0.500 0.000
Li3 0.500 0.500 0.000
Pa1 0.500 0.000 0.500
Pa2 0.500 0.500 0.500
Pa3 0.000 0.500 0.500
W1 0.000 0.000 0.500
N1 0.262 0.523 0.285
N2 0.738 0.477 0.715
N3 0.779 0.558 0.294
N4 0.221 0.442 0.706
N5 0.779 0.015 0.294
N6 0.221 0.985 0.706
N7 0.236 0.015 0.294
N8 0.764 0.985 0.706

No. 9
DFT (PBE) results for an optimized crystal structure of LiY3Pa3N8.

Output
SG ... R-3m, No. 166

a b c (Å): 6.886 6.887 6.851
angles (deg): 120.18 90.00 120.00
Sites, in units of the cell vectors:
Li1 0.000 0.000 0.500
Y1 0.000 0.000 0.000
Y2 0.000 0.500 0.000
Y3 0.500 0.500 0.000
Pa1 0.500 0.000 0.500
Pa2 0.500 0.500 0.500
Pa3 0.000 0.500 0.500
N1 0.248 0.497 0.245
N2 0.752 0.503 0.755
N3 0.757 0.514 0.283
N4 0.243 0.486 0.717
N5 0.757 0.026 0.283
N6 0.243 0.974 0.717
N7 0.269 0.026 0.283
N8 0.731 0.974 0.717

No. 10
DFT (PBE) results for an optimized crystal structure of Li2Y2PaN4.

Output
SG ... C2/m, No. 12

a b c (Å): 3.390 6.315 5.936
angles (deg): 108.69 90.00 105.57
Sites, in units of the cell vectors:
Li1 0.311 0.621 0.000
Li2 0.689 0.379 0.000
Y1 0.858 0.716 0.435
Y2 0.142 0.284 0.565
Pa1 0.000 0.000 0.000
N1 0.790 0.581 0.772
N2 0.210 0.419 0.228
N3 0.470 0.940 0.240
N4 0.530 0.060 0.760

No. 11
DFT (PBE) results for an optimized crystal structure of Li3YPa2N6.

Output
SG ... C2/m, No. 12

a b c (Å): 6.059 6.059 5.407
angles (deg): 100.86 100.86 119.98
Sites, in units of the cell vectors:
Li1 0.171 0.829 0.500
Li2 0.829 0.171 0.500
Li3 0.500 0.500 0.500
Y1 0.000 0.000 0.000
Pa1 0.334 0.666 0.000
Pa2 0.666 0.334 0.000
N1 0.925 0.576 0.777
N2 0.726 0.726 0.225
N3 0.075 0.424 0.223
N4 0.576 0.925 0.777
N5 0.274 0.274 0.775
N6 0.424 0.075 0.223

No. 12
DFT (PBE) results for an optimized crystal structure of LiYPa2N4.

Output
SG ... P2/m, No. 10

a b c (Å): 3.537 5.824 6.077
angles (deg): 70.71 90.00 90.00
Sites, in units of the cell vectors:
Li1 0.000 0.500 0.500
Y1 0.500 0.500 0.000
Pa1 0.000 0.000 0.000
Pa2 0.500 0.000 0.500
N1 0.000 0.770 0.741
N2 0.000 0.230 0.259
N3 0.500 0.792 0.231
N4 0.500 0.208 0.769

No. 13
DFT (PBE) results for an optimized crystal structure of LiPaZnN3.

Output
SG ... P2_1/m, No. 11

a b c (Å): 3.516 6.343 8.787
angles (deg): 102.43 90.00 90.00
Sites, in units of the cell vectors:
Li1 0.250 0.148 0.101
Li2 0.750 0.852 0.899
Pa1 0.250 0.675 0.156
Pa2 0.750 0.325 0.844
Zn1 0.250 0.998 0.624
Zn2 0.750 0.002 0.376
N1 0.750 0.908 0.145
N2 0.250 0.092 0.855
N3 0.250 0.834 0.411
N4 0.750 0.166 0.589
N5 0.750 0.434 0.106
N6 0.250 0.566 0.894

No. 14
DFT (PBE) results for an optimized crystal structure of LiPaZn2N4.

Output
SG ... I-42m, No. 121

a b c (Å): 5.591 4.950 4.950
angles (deg): 68.76 55.62 55.62
Sites, in units of the cell vectors:
Li1 0.500 0.500 0.500
Pa1 0.000 0.000 0.000
Zn1 0.250 0.250 0.250
Zn2 0.750 0.750 0.750
N1 0.500 0.002 0.500
N2 0.002 0.998 0.500
N3 0.998 0.500 0.002
N4 0.500 0.500 0.998

No. 15
DFT (PBE) results for an optimized crystal structure of Li3Pa2ZnN6.

Output
SG ... C2/m, No. 12

a b c (Å): 6.003 6.003 5.284
angles (deg): 96.87 96.87 124.93
Sites, in units of the cell vectors:
Li1 0.139 0.861 0.500
Li2 0.861 0.139 0.500
Li3 0.500 0.500 0.500
Pa1 0.339 0.661 0.000
Pa2 0.661 0.339 0.000
Zn1 0.000 0.000 0.000
N1 0.916 0.574 0.768
N2 0.740 0.740 0.223
N3 0.084 0.426 0.232
N4 0.574 0.916 0.768
N5 0.260 0.260 0.777
N6 0.426 0.084 0.232

No. 16
DFT (PBE) results for an optimized crystal structure of Li2PaZnN4.

Output
SG ... I222, No. 23

a b c (Å): 4.784 4.875 4.875
angles (deg): 78.59 60.62 60.62
Sites, in units of the cell vectors:
Li1 0.500 0.704 0.296
Li2 0.500 0.296 0.704
Pa1 0.000 0.000 0.000
Zn1 0.000 0.500 0.500
N1 0.578 0.515 0.938
N2 0.422 0.062 0.485
N3 0.032 0.485 0.062
N4 0.968 0.938 0.515

No. 17
DFT (PBE) results for an optimized crystal structure of Li2PaZn2N4.

Output
SG ... C2/m, No. 12

a b c (Å): 3.487 7.171 5.525
angles (deg): 126.58 90.00 104.07
Sites, in units of the cell vectors:
Li1 0.743 0.487 0.316
Li2 0.257 0.513 0.684
Pa1 0.000 0.000 0.000
Zn1 0.366 0.732 0.258
Zn2 0.634 0.268 0.742
N1 0.849 0.699 0.042
N2 0.151 0.301 0.958
N3 0.602 0.203 0.337
N4 0.398 0.797 0.663

No. 18
DFT (PBE) results for an optimized crystal structure of LiPa4ZnN8.

Output
SG ... R3m, No. 160

a b c (Å): 7.140 7.140 6.144
angles (deg): 54.47 54.47 60.00
Sites, in units of the cell vectors:
Li1 0.988 0.988 0.036
Pa1 0.575 0.575 0.274
Pa2 0.992 0.497 0.519
Pa3 0.497 0.992 0.519
Pa4 0.992 0.992 0.519
Zn1 0.370 0.370 0.891
N1 0.301 0.749 0.650
N2 0.749 0.301 0.650
N3 0.301 0.301 0.650
N4 0.229 0.229 0.313
N5 0.772 0.215 0.242
N6 0.215 0.772 0.242
N7 0.772 0.772 0.242
N8 0.748 0.748 0.756

No. 19
DFT (PBE) results for an optimized crystal structure of Li2ZrPaN4.

Output
SG ... P2/m, No. 10

a b c (Å): 3.430 5.394 5.859
angles (deg): 69.48 90.00 90.00
Sites, in units of the cell vectors:
Li1 0.000 0.000 0.000
Li2 0.500 0.000 0.500
Zr1 0.500 0.500 0.000
Pa1 0.000 0.500 0.500
N1 0.000 0.717 0.761
N2 0.000 0.283 0.239
N3 0.500 0.719 0.256
N4 0.500 0.281 0.744

No. 20
DFT (PBE) results for an optimized crystal structure of LiZrPaN3.

Output
SG ... P2_1/m, No. 11

a b c (Å): 3.259 6.919 6.779
angles (deg): 103.22 90.00 90.00
Sites, in units of the cell vectors:
Li1 0.250 0.084 0.589
Li2 0.750 0.916 0.411
Zr1 0.250 0.661 0.181
Zr2 0.750 0.339 0.819
Pa1 0.250 0.187 0.220
Pa2 0.750 0.813 0.780
N1 0.750 0.885 0.126
N2 0.250 0.115 0.874
N3 0.250 0.798 0.513
N4 0.750 0.202 0.487
N5 0.750 0.424 0.162
N6 0.250 0.576 0.838

No. 21
DFT (PBE) results for an optimized crystal structure of LiZrPa4N8.

Output
SG ... R3m, No. 160

a b c (Å): 7.087 7.087 6.412
angles (deg): 56.45 56.45 60.00
Sites, in units of the cell vectors:
Li1 0.986 0.986 0.043
Zr1 0.377 0.377 0.868
Pa1 0.588 0.588 0.236
Pa2 0.994 0.501 0.511
Pa3 0.501 0.994 0.511
Pa4 0.994 0.994 0.511
N1 0.292 0.748 0.668
N2 0.748 0.292 0.668
N3 0.292 0.292 0.668
N4 0.235 0.235 0.294
N5 0.766 0.210 0.257
N6 0.210 0.766 0.257
N7 0.766 0.766 0.257
N8 0.751 0.751 0.748

What are the E_form (uncorrected) values for these records? In order: -1.314 -1.270 -1.200 -1.263 -1.299 -1.363 -1.172 -1.060 -1.296 -1.068 -1.022 -1.402 -0.580 -0.154 -0.593 -0.159 -0.537 -1.175 -1.070 -1.275 -1.427 eV per atom.